# Sr6LiMg2 GGA-PBE relaxed
data_Sr6LiMg2
_cell_length_a 11.160
_cell_length_b 11.763
_cell_length_c 12.331
_cell_angle_alpha 90.00
_cell_angle_beta 90.00
_cell_angle_gamma 90.00
_space_group_name_H-M_alt 'I m m m'
_space_group_IT_number 71
_space_group_name_Hall '-I 2 2'
loop_
_atom_site_label
_atom_site_type_symbol
_atom_site_fract_x
_atom_site_fract_y
_atom_site_fract_z
Sr1 Sr 0.000 0.211 0.178
Sr2 Sr 0.185 0.228 0.500
Sr3 Sr 0.200 0.500 0.252
Li1 Li 0.000 0.500 0.000
Li2 Li 0.000 0.500 0.500
Mg1 Mg 0.000 0.000 0.379
Mg2 Mg 0.141 0.000 0.000
# DFT total energy in eV per cell: -60.54
# Total magnetization in μB/f.u.: 0.00
# Formation enthalpy at 0 K in eV/atom: 0.007